[1]
Compound: NaTe2PtI
Source: the Alexandria database
Functional: PBE
Structure: optimized geometry

Output
* symmetry: No. 123
* energy above the most stable polymorph in this dataset: 0.10 kcal/mol of atoms

Structure (extended XYZ):
```
5
Lattice="5.178 0.000 0.000 0.000 5.178 0.000 0.000 0.000 6.452" Properties=species:S:1:pos:R:3 pbc="T T T"
Na 0.000 0.000 0.000
Te 0.000 2.589 3.226
Te 2.589 0.000 3.226
Pt 0.000 0.000 3.226
I 2.589 2.589 0.000
```

=====

[2]
Compound: NaV2PtI
Source: the Alexandria database
Functional: PBE
Structure: optimized geometry

Output
* symmetry: No. 123
* total DFT energy (no corrections): -18.01 eV per formula unit

Structure (extended XYZ):
```
5
Lattice="5.004 0.000 0.000 0.000 5.004 0.000 0.000 0.000 5.004" Properties=species:S:1:pos:R:3 pbc="T T T"
Na 0.000 0.000 0.000
V 0.000 2.502 0.000
V 2.502 0.000 0.000
Pt 2.502 2.502 2.502
I 0.000 0.000 2.502
```

=====

[3]
Compound: Na3PuI6
Source: the Alexandria database
Functional: PBE
Structure: optimized geometry

Output
* symmetry: No. 14
* energy above the most stable polymorph in this dataset: 0.00 kcal/mol of atoms

Structure (extended XYZ):
```
20
Lattice="7.825 0.000 0.000 0.000 8.471 0.000 -7.751 0.000 11.925" Properties=species:S:1:pos:R:3 pbc="T T T"
Na 0.000 0.000 0.000
Na -3.875 4.236 5.963
Na -4.189 0.826 8.861
Na -0.314 3.409 2.898
Na 0.389 5.062 9.028
Na 4.264 7.645 3.065
Pu 0.037 0.000 5.963
Pu 3.913 4.236 0.000
I -2.480 1.541 5.060
I -6.355 2.695 11.023
I -1.281 5.813 5.044
I -5.156 6.893 11.007
I 1.191 0.529 3.102
I -2.684 3.707 9.065
I 2.759 4.764 2.860
I -1.116 7.942 8.823
I 5.231 1.578 0.919
I 1.356 2.658 6.882
I 6.430 5.776 0.902
I 2.555 6.930 6.865
```

=====

[4]
Compound: NaPuI
Source: the Alexandria database
Functional: PBE
Structure: optimized geometry

Output
* symmetry: No. 129
* total DFT energy (no corrections): -18.12 eV per formula unit

Structure (extended XYZ):
```
6
Lattice="4.218 0.000 0.000 0.000 4.218 0.000 0.000 0.000 11.620" Properties=species:S:1:pos:R:3 pbc="T T T"
Na 1.055 1.055 1.366
Na 3.164 3.164 10.254
Pu 1.055 3.164 5.810
Pu 3.164 1.055 5.810
I 1.055 1.055 8.447
I 3.164 3.164 3.174
```